First-principles (PBE) data for a relaxed Ba2SrUSe6 crystal, as listed in Alexandria via LeMat-Bulk.

Lattice parameters (Å, degrees): 7.5181 8.0938 13.2640 90.00 124.41 90.00
Fractional positions:
Ba (0.2212, 0.0805, 0.2484)
Ba (0.2212, 0.4195, 0.7484)
Ba (0.7788, 0.5805, 0.2516)
Ba (0.7788, 0.9195, 0.7516)
Sr (0.0000, 0.0000, 0.5000)
Sr (0.0000, 0.5000, 0.0000)
U (0.5000, 0.0000, 0.0000)
U (0.5000, 0.5000, 0.5000)
Se (0.1567, 0.1797, 0.9489)
Se (0.1567, 0.3203, 0.4489)
Se (0.2687, 0.7150, 0.9410)
Se (0.2687, 0.7850, 0.4410)
Se (0.3730, 0.0318, 0.7664)
Se (0.3730, 0.4682, 0.2664)
Se (0.6270, 0.5318, 0.7336)
Se (0.6270, 0.9682, 0.2336)
Se (0.7313, 0.2150, 0.5589)
Se (0.7313, 0.2850, 0.0590)
Se (0.8433, 0.6797, 0.5511)
Se (0.8433, 0.8203, 0.0511)

Uncorrected energy in eV/atom: -5.4011
Total magnetic moment in μB/cell: 0.00

First-principles (PBE) data for a relaxed PmDyO4 crystal, as listed in Alexandria via LeMat-Bulk.

Lattice parameters (Å, degrees): 3.8642 3.8642 6.3747 96.61 96.61 60.93
Fractional positions:
Pm (0.0000, 0.0000, 0.0000)
Dy (0.3896, 0.3896, 0.4597)
O (0.0466, 0.0466, 0.3809)
O (0.3473, 0.3473, 0.0957)
O (0.6134, 0.6134, 0.7909)
O (0.7817, 0.7817, 0.6545)

Uncorrected energy in eV/atom: -7.7871
N(E_F) in states/eV/atom: 0.000
Total magnetic moment in μB/cell: 0.00

First-principles (PBE) data for a relaxed Li4CuHg crystal, as listed in Alexandria via LeMat-Bulk.

Lattice parameters (Å, degrees): 5.2510 5.2510 5.2510 129.60 118.17 83.71
Fractional positions:
Li (0.0840, 0.8337, 0.2504)
Li (0.4167, 0.1663, 0.2504)
Li (0.5833, 0.8337, 0.7496)
Li (0.9160, 0.1663, 0.7496)
Cu (0.5000, 0.5000, 0.0000)
Hg (0.0000, 0.5000, 0.5000)

ΔE_f in meV per atom: -144
Uncorrected energy in eV/atom: -2.1528
ΔE to the lowest computed polymorph in eV per atom: 0.000
N(E_F) in states/eV/atom: 0.474
Total magnetic moment in μB/cell: 0.00